! MoAu3F | Alexandria via LeMat-Bulk | GGA+U | optimized geometry; values from VASP
&SYSTEM
  ibrav = 0, nat = 5, ntyp = 3
/
ATOMIC_SPECIES
Mo 95.94 Mo.upf
Au 196.97 Au.upf
F 19.00 F.upf
CELL_PARAMETERS angstrom
5.329 0.000 0.000
0.000 5.329 0.000
0.000 0.000 5.329
ATOMIC_POSITIONS angstrom
Mo 0.000 0.000 0.000
Au 0.000 0.000 2.665
Au 0.000 2.665 0.000
Au 2.665 0.000 0.000
F 2.665 2.665 2.665
! * E_tot: -0.19467 Ry per atom
! * crystal system: cubic
! * total magnetization: 5.1 μB per formula unit